The following is a PBE with a Hubbard U calculation of a relaxed NaPuNi2O5 crystal, from Alexandria via LeMat-Bulk.

a b c (Å): 4.567 5.702 6.054
angles (deg): 118.09 112.16 90.00
Fractional coordinates of all 9 atoms:
Na (0.000, 0.500, 0.000)
Pu (0.500, 0.000, 0.000)
Ni (0.216, 0.216, 0.432)
Ni (0.784, 0.784, 0.568)
O (0.654, 0.911, 0.309)
O (0.346, 0.089, 0.691)
O (0.346, 0.602, 0.691)
O (0.654, 0.398, 0.309)
O (0.000, 0.000, 0.000)

Values from the calculation:
The crystal system is orthorhombic. For the total magnetization, the calculation gives 1.0 μB/f.u. The total energy comes out at -6.569 eV per atom.